Record 1
This record from Alexandria describes a relaxed PrY5Hg4 crystal. The functional is GGA-PBE.

Results
DFT total energy = -4.235 eV/atom
Energy of formation from the pure elements = -405 meV/atom
Density of states at the Fermi level = 10.527 states/eV/cell
Theoretical density = 8.35 g/cm³

Cell lengths 3.7106, 3.7106, 20.0504 Å; angles 90.00, 90.00, 90.00 degrees
Element x y z (fractional)
Y  0.5000  0.5000  0.5000
Y  0.5000  0.5000  0.1266
Y  0.5000  0.5000  0.6864
Y  0.5000  0.5000  0.8734
Y  0.5000  0.5000  0.3136
Pr  0.0000  0.0000  0.0000
Hg  0.0000  0.0000  0.7821
Hg  0.0000  0.0000  0.5947
Hg  0.0000  0.0000  0.2179
Hg  0.0000  0.0000  0.4053



Record 2
This record from Alexandria describes a relaxed Pr4YHg4 crystal. The functional is GGA-PBE.

Results
DFT total energy = -3.242 eV/atom
Energy of formation from the pure elements = -265 meV/atom
Density of states at the Fermi level = 13.792 states/eV/cell
Theoretical density = 8.91 g/cm³

Cell lengths 5.7853, 9.6837, 9.6837 Å; angles 90.00, 90.00, 90.00 degrees
Element x y z (fractional)
Hg  0.3873  0.1967  0.1018
Hg  0.8873  0.3982  0.6967
Hg  0.6127  0.1018  0.8033
Hg  0.8873  0.6018  0.3033
Hg  0.6127  0.8982  0.1967
Hg  0.3873  0.8033  0.8982
Hg  0.1127  0.6967  0.6018
Hg  0.1127  0.3033  0.3982
Pr  0.1086  0.0886  0.6585
Pr  0.8914  0.3415  0.0886
Pr  0.1086  0.9114  0.3415
Pr  0.3914  0.4114  0.8415
Pr  0.8914  0.6585  0.9114
Pr  0.3914  0.5886  0.1585
Pr  0.6086  0.8415  0.5886
Pr  0.6086  0.1585  0.4114
Y  0.0000  0.0000  0.0000
Y  0.5000  0.5000  0.5000



Record 3
This record from Alexandria describes a relaxed Pr2Zn3Hg2 crystal. The functional is GGA-PBE.

Results
DFT total energy = -2.355 eV/atom
Energy of formation from the pure elements = -357 meV/atom
Density of states at the Fermi level = 4.667 states/eV/cell
Theoretical density = 9.04 g/cm³

Cell lengths 4.6680, 5.9411, 6.8058 Å; angles 109.65, 90.00, 113.13 degrees
Element x y z (fractional)
Zn  0.5816  0.1633  0.4096
Zn  0.4184  0.8367  0.5904
Zn  0.5000  0.0000  0.0000
Hg  0.8418  0.6835  0.7405
Hg  0.1582  0.3165  0.2595
Pr  0.1477  0.2953  0.7672
Pr  0.8523  0.7047  0.2328



Record 4
This record from Alexandria describes a relaxed Pr4ZnHg3 crystal. The functional is GGA-PBE.

Results
DFT total energy = -3.042 eV/atom
Energy of formation from the pure elements = -380 meV/atom
Density of states at the Fermi level = 10.023 states/eV/cell
Theoretical density = 8.95 g/cm³
E above lowest polymorph = 0.050 eV per atom

Cell lengths 3.7989, 4.9163, 12.2332 Å; angles 90.00, 90.00, 90.00 degrees
Element x y z (fractional)
Hg  0.5000  0.0000  0.9288
Hg  0.0000  0.5000  0.5774
Hg  0.0000  0.0000  0.4217
Pr  0.0000  0.5000  0.8531
Pr  0.0000  0.0000  0.1486
Pr  0.5000  0.5000  0.3433
Pr  0.5000  0.0000  0.6520
Zn  0.5000  0.5000  0.0750



Record 5
This record from Alexandria describes a relaxed Pr6ZnHg5 crystal. The functional is GGA-PBE.

Results
DFT total energy = -3.061 eV/atom
Energy of formation from the pure elements = -439 meV/atom
Density of states at the Fermi level = 12.648 states/eV/cell
Theoretical density = 9.33 g/cm³

Cell lengths 5.4264, 7.7058, 8.5948 Å; angles 90.00, 108.58, 90.00 degrees
Element x y z (fractional)
Pr  0.5000  0.2441  0.0000
Pr  0.1635  0.2466  0.3286
Pr  0.1635  0.7534  0.3286
Pr  0.8365  0.2466  0.6714
Pr  0.5000  0.7559  0.0000
Pr  0.8365  0.7534  0.6714
Hg  0.3339  0.5000  0.6659
Hg  0.6651  0.0000  0.3325
Hg  0.0000  0.5000  0.0000
Hg  0.3349  0.0000  0.6675
Hg  0.6661  0.5000  0.3341
Zn  0.0000  0.0000  0.0000



Record 6
This record from Alexandria describes a relaxed PrZn3Hg crystal. The functional is GGA-PBE.

Results
DFT total energy = -2.083 eV/atom
Energy of formation from the pure elements = -302 meV/atom
Density of states at the Fermi level = 6.462 states/eV/cell
Theoretical density = 8.54 g/cm³

Cell lengths 6.1785, 6.1170, 6.2042 Å; angles 90.00, 63.15, 90.00 degrees
Element x y z (fractional)
Zn  0.2033  0.4913  0.3032
Zn  0.7967  0.9913  0.6968
Zn  0.8469  0.2500  0.3570
Zn  0.1531  0.7500  0.6430
Zn  0.2033  0.0087  0.3032
Zn  0.7967  0.5087  0.6968
Pr  0.2686  0.2500  0.7693
Pr  0.7314  0.7500  0.2307
Hg  0.6171  0.2500  0.0939
Hg  0.3829  0.7500  0.9061



Record 7
This record from Alexandria describes a relaxed PrZn3Hg3 crystal. The functional is GGA-PBE.

Results
DFT total energy = -1.142 eV/atom
Energy of formation from the pure elements = 216 meV/atom
Density of states at the Fermi level = 9.222 states/eV/cell
Theoretical density = 8.24 g/cm³

Cell lengths 7.2320, 7.2320, 7.2320 Å; angles 90.00, 90.00, 90.00 degrees
Element x y z (fractional)
Zn  0.2500  0.5000  0.0000
Zn  0.5000  0.0000  0.7500
Zn  0.7500  0.5000  0.0000
Zn  0.0000  0.2500  0.5000
Zn  0.0000  0.7500  0.5000
Zn  0.5000  0.0000  0.2500
Hg  0.5000  0.2500  0.0000
Hg  0.0000  0.5000  0.7500
Hg  0.5000  0.7500  0.0000
Hg  0.7500  0.0000  0.5000
Hg  0.0000  0.5000  0.2500
Hg  0.2500  0.0000  0.5000
Pr  0.5000  0.5000  0.5000
Pr  0.0000  0.0000  0.0000



Record 8
This record from Alexandria describes a relaxed Pr2ZnHg2 crystal. The functional is GGA-PBE.

Results
DFT total energy = -2.675 eV/atom
Energy of formation from the pure elements = -387 meV/atom
Density of states at the Fermi level = 10.787 states/eV/cell
Theoretical density = 9.28 g/cm³
E above lowest polymorph = 0.000 eV per atom

Cell lengths 4.6751, 6.1004, 10.4480 Å; angles 87.55, 77.07, 67.47 degrees
Element x y z (fractional)
Pr  0.0821  0.7294  0.1063
Pr  0.6815  0.2919  0.3450
Pr  0.9179  0.2706  0.8937
Pr  0.3185  0.7081  0.6550
Zn  0.6174  0.1055  0.6598
Zn  0.3826  0.8945  0.3402
Hg  0.3538  0.1721  0.1202
Hg  0.9249  0.7228  0.4273
Hg  0.0751  0.2772  0.5727
Hg  0.6462  0.8279  0.8798



Record 9
This record from Alexandria describes a relaxed Pr5ZnHg2 crystal. The functional is GGA-PBE.

Results
DFT total energy = -3.513 eV/atom
Energy of formation from the pure elements = -291 meV/atom
Density of states at the Fermi level = 20.573 states/eV/cell
Theoretical density = 8.15 g/cm³
E above lowest polymorph = 0.000 eV per atom

Cell lengths 5.3628, 6.8122, 13.0659 Å; angles 90.00, 90.00, 90.00 degrees
Element x y z (fractional)
Hg  0.5000  0.6202  0.1420
Hg  0.5000  0.3798  0.8580
Hg  0.5000  0.8798  0.6420
Hg  0.5000  0.1202  0.3580
Pr  0.0000  0.3493  0.2812
Pr  0.5000  0.8460  0.8965
Pr  0.0000  0.0000  0.5000
Pr  0.0000  0.6507  0.7188
Pr  0.5000  0.3460  0.6035
Pr  0.0000  0.8493  0.2188
Pr  0.5000  0.1540  0.1035
Pr  0.0000  0.5000  0.0000
Pr  0.5000  0.6540  0.3965
Pr  0.0000  0.1507  0.7812
Zn  0.0000  0.0000  0.0000
Zn  0.0000  0.5000  0.5000



Record 10
This record from Alexandria describes a relaxed PrZnHg crystal. The functional is GGA-PBE.

Results
DFT total energy = -2.371 eV/atom
Energy of formation from the pure elements = -252 meV/atom
Density of states at the Fermi level = 2.711 states/eV/cell
Theoretical density = 9.31 g/cm³

Cell lengths 3.5406, 3.5406, 6.3065 Å; angles 106.30, 106.30, 90.00 degrees
Element x y z (fractional)
Hg  0.6359  0.6359  0.2717
Pr  0.9442  0.9442  0.8883
Zn  0.2700  0.2700  0.5399



Record 11
This record from Alexandria describes a relaxed Pr5Zn2Hg crystal. The functional is GGA-PBE.

Results
DFT total energy = -3.584 eV/atom
Energy of formation from the pure elements = -241 meV/atom
Density of states at the Fermi level = 16.988 states/eV/cell
Theoretical density = 7.26 g/cm³

Cell lengths 7.6788, 7.6788, 9.6991 Å; angles 113.32, 113.32, 90.00 degrees
Element x y z (fractional)
Pr  0.3176  0.8176  0.2963
Pr  0.1824  0.0213  0.7037
Pr  0.4787  0.3176  0.2963
Pr  0.6824  0.1824  0.7037
Pr  0.0213  0.5213  0.7037
Pr  0.5213  0.6824  0.7037
Pr  0.0000  0.0000  0.0000
Pr  0.8176  0.9787  0.2963
Pr  0.5000  0.5000  0.0000
Pr  0.9787  0.4787  0.2963
Zn  0.6184  0.1184  0.0000
Zn  0.8816  0.6184  0.0000
Zn  0.3816  0.8816  0.0000
Zn  0.1184  0.3816  0.0000
Hg  0.7500  0.7500  0.5000
Hg  0.2500  0.2500  0.5000



Record 12
This record from Alexandria describes a relaxed Pr2Zn3Hg crystal. The functional is GGA-PBE.

Results
DFT total energy = -2.648 eV/atom
Energy of formation from the pure elements = -367 meV/atom
Density of states at the Fermi level = 11.546 states/eV/cell
Theoretical density = 8.00 g/cm³

Cell lengths 5.9749, 5.9749, 8.9172 Å; angles 104.85, 104.85, 103.58 degrees
Element x y z (fractional)
Zn  0.8388  0.8388  0.6776
Zn  0.8390  0.3228  0.1618
Zn  0.3228  0.8390  0.1618
Zn  0.6772  0.1610  0.8382
Zn  0.1610  0.6772  0.8382
Zn  0.1612  0.1612  0.3224
Pr  0.2500  0.7500  0.5000
Pr  0.2537  0.2537  0.0000
Pr  0.7463  0.7463  0.0000
Pr  0.7500  0.2500  0.5000
Hg  0.3330  0.3330  0.6660
Hg  0.6670  0.6670  0.3340



Record 13
This record from Alexandria describes a relaxed Pr2ZnHg4 crystal. The functional is GGA-PBE.

Results
DFT total energy = -2.020 eV/atom
Energy of formation from the pure elements = -300 meV/atom
Density of states at the Fermi level = 3.789 states/eV/cell
Theoretical density = 10.45 g/cm³

Cell lengths 5.3802, 5.3802, 7.9205 Å; angles 70.15, 70.15, 60.00 degrees
Element x y z (fractional)
Zn  0.0000  0.0000  0.0000
Hg  0.1263  0.1263  0.6212
Hg  0.4232  0.4232  0.7304
Hg  0.5768  0.5768  0.2696
Hg  0.8737  0.8737  0.3788
Pr  0.2722  0.2722  0.1835
Pr  0.7278  0.7278  0.8165



Record 14
This record from Alexandria describes a relaxed Pr3ZnHg2 crystal. The functional is GGA-PBE.

Results
DFT total energy = -3.107 eV/atom
Energy of formation from the pure elements = -405 meV/atom
Density of states at the Fermi level = 12.096 states/eV/cell
Theoretical density = 8.82 g/cm³
E above lowest polymorph = 0.011 eV per atom

Cell lengths 5.4060, 5.4060, 13.2362 Å; angles 90.00, 90.00, 120.00 degrees
Element x y z (fractional)
Zn  0.6667  0.3333  0.3349
Zn  0.3333  0.6667  0.6651
Pr  0.0000  0.0000  0.7455
Pr  0.6667  0.3333  0.0878
Pr  0.3333  0.6667  0.9122
Pr  0.0000  0.0000  0.2545
Pr  0.3333  0.6667  0.4173
Pr  0.6667  0.3333  0.5827
Hg  0.0000  0.0000  0.5000
Hg  0.6667  0.3333  0.8310
Hg  0.0000  0.0000  0.0000
Hg  0.3333  0.6667  0.1690



Record 15
This record from Alexandria describes a relaxed PrZn2Hg crystal. The functional is GGA-PBE.

Results
DFT total energy = -2.197 eV/atom
Energy of formation from the pure elements = -290 meV/atom
Density of states at the Fermi level = 2.363 states/eV/cell
Theoretical density = 9.18 g/cm³
E above lowest polymorph = 0.000 eV per atom

Cell lengths 4.9440, 4.9440, 4.9440 Å; angles 60.00, 60.00, 60.00 degrees
Element x y z (fractional)
Hg  0.5000  0.5000  0.5000
Pr  0.0000  0.0000  0.0000
Zn  0.7500  0.7500  0.7500
Zn  0.2500  0.2500  0.2500



Record 16
This record from Alexandria describes a relaxed Pr3Zn2Hg4 crystal. The functional is GGA-PBE.

Results
DFT total energy = -2.427 eV/atom
Energy of formation from the pure elements = -417 meV/atom
Density of states at the Fermi level = 7.016 states/eV/cell
Theoretical density = 10.01 g/cm³

Cell lengths 4.9039, 6.0933, 9.1686 Å; angles 113.89, 90.00, 113.73 degrees
Element x y z (fractional)
Pr  0.3378  0.6755  0.3339
Pr  0.6622  0.3245  0.6661
Pr  0.0000  0.0000  0.0000
Hg  0.0677  0.1354  0.3911
Hg  0.7123  0.4246  0.0584
Hg  0.9323  0.8646  0.6089
Hg  0.2877  0.5754  0.9416
Zn  0.6132  0.2263  0.2838
Zn  0.3868  0.7737  0.7162



Record 17
This record from Alexandria describes a relaxed Pr6Zn3Hg crystal. The functional is GGA-PBE.

Results
DFT total energy = -3.511 eV/atom
Energy of formation from the pure elements = -231 meV/atom
Density of states at the Fermi level = 21.073 states/eV/cell
Theoretical density = 7.33 g/cm³

Cell lengths 5.2681, 9.5278, 11.7488 Å; angles 107.30, 90.00, 90.00 degrees
Element x y z (fractional)
Pr  0.2500  0.8333  0.3087
Pr  0.2500  0.1111  0.8761
Pr  0.2500  0.6501  0.6837
Pr  0.7500  0.1667  0.6913
Pr  0.7500  0.3499  0.3163
Pr  0.7500  0.8889  0.1239
Pr  0.2500  0.2759  0.5072
Pr  0.7500  0.8772  0.8489
Pr  0.7500  0.5309  0.9052
Pr  0.7500  0.7241  0.4928
Pr  0.2500  0.1228  0.1511
Pr  0.2500  0.4691  0.0948
Zn  0.2500  0.3833  0.7855
Zn  0.7500  0.4680  0.6218
Zn  0.7500  0.2294  0.0244
Zn  0.2500  0.7706  0.9756
Zn  0.7500  0.6167  0.2145
Zn  0.2500  0.5320  0.3782
Hg  0.7500  0.0543  0.4020
Hg  0.2500  0.9457  0.5980



Record 18
This record from Alexandria describes a relaxed Pr4ZnHg3 crystal. The functional is GGA-PBE.

Results
DFT total energy = -3.092 eV/atom
Energy of formation from the pure elements = -429 meV/atom
Density of states at the Fermi level = 8.829 states/eV/cell
Theoretical density = 9.12 g/cm³
E above lowest polymorph = 0.000 eV per atom

Cell lengths 3.8181, 3.8181, 15.3749 Å; angles 90.00, 90.00, 90.00 degrees
Element x y z (fractional)
Hg  0.5000  0.5000  0.2424
Hg  0.5000  0.5000  0.5000
Hg  0.5000  0.5000  0.7576
Pr  0.0000  0.0000  0.3722
Pr  0.0000  0.0000  0.1137
Pr  0.0000  0.0000  0.8863
Pr  0.0000  0.0000  0.6278
Zn  0.5000  0.5000  0.0000



Record 19
This record from Alexandria describes a relaxed Pr7Zn2Hg2 crystal. The functional is GGA-PBE.

Results
DFT total energy = -3.390 eV/atom
Energy of formation from the pure elements = -62 meV/atom
Density of states at the Fermi level = 14.092 states/eV/cell
Theoretical density = 7.13 g/cm³

Cell lengths 6.8793, 7.9899, 6.8793 Å; angles 90.00, 110.81, 90.00 degrees
Element x y z (fractional)
Pr  0.0000  0.0000  0.0000
Pr  0.5000  0.2458  0.5000
Pr  0.0000  0.2787  0.5000
Pr  0.0000  0.7213  0.5000
Pr  0.5000  0.2787  0.0000
Pr  0.5000  0.7213  0.0000
Pr  0.5000  0.7542  0.5000
Zn  0.2890  0.0000  0.7110
Zn  0.7110  0.0000  0.2890
Hg  0.8179  0.5000  0.8179
Hg  0.1821  0.5000  0.1821



Record 20
This record from Alexandria describes a relaxed PrZn2Hg crystal. The functional is GGA-PBE.

Results
DFT total energy = -2.195 eV/atom
Energy of formation from the pure elements = -288 meV/atom
Density of states at the Fermi level = 7.688 states/eV/cell
Theoretical density = 8.63 g/cm³
E above lowest polymorph = 0.002 eV per atom

Cell lengths 4.5735, 3.9677, 10.2057 Å; angles 101.21, 90.00, 90.00 degrees
Element x y z (fractional)
Zn  0.7500  0.4725  0.9450
Zn  0.2500  0.5275  0.0550
Zn  0.2500  0.2586  0.5172
Zn  0.7500  0.7414  0.4828
Hg  0.2500  0.6633  0.3265
Hg  0.7500  0.3367  0.6735
Pr  0.7500  0.0996  0.1993
Pr  0.2500  0.9004  0.8007



Record 21
This record from Alexandria describes a relaxed Pr3Zn8Hg crystal. The functional is GGA-PBE.

Results
DFT total energy = -2.328 eV/atom
Energy of formation from the pure elements = -258 meV/atom
Density of states at the Fermi level = 5.521 states/eV/cell
Theoretical density = 7.75 g/cm³

Cell lengths 5.5868, 5.5868, 9.6456 Å; angles 73.17, 73.17, 60.00 degrees
Element x y z (fractional)
Zn  0.6892  0.6892  0.9324
Zn  0.9404  0.9404  0.6889
Zn  0.4400  0.9367  0.1833
Zn  0.4400  0.4400  0.1833
Zn  0.4302  0.9404  0.6889
Zn  0.1881  0.1881  0.4358
Zn  0.9367  0.4400  0.1833
Zn  0.9404  0.4302  0.6889
Pr  0.5057  0.5057  0.4830
Pr  0.9917  0.9917  0.0250
Pr  0.3781  0.3781  0.8658
Hg  0.8695  0.8695  0.3915



Record 22
This record from Alexandria describes a relaxed PrZn2Hg crystal. The functional is GGA-PBE.

Results
DFT total energy = -2.025 eV/atom
Energy of formation from the pure elements = -118 meV/atom
Density of states at the Fermi level = 2.805 states/eV/cell
Theoretical density = 8.34 g/cm³
E above lowest polymorph = 0.172 eV per atom

Cell lengths 4.5749, 5.6647, 4.6018 Å; angles 127.99, 90.00, 90.00 degrees
Element x y z (fractional)
Hg  0.0000  0.4763  0.9527
Zn  0.0000  0.0958  0.1916
Zn  0.5000  0.2329  0.4659
Pr  0.5000  0.7980  0.5959